VASP calculation (PBE) on an optimized crystal structure of La2MnRu.

Unit cell a=8.409 b=8.409 c=8.409 alpha=27.00 beta=27.00 gamma=27.00
Site moments in Bohr magnetons follow the coordinates.
Atoms (fractional coordinates):
La: 0.013 0.013 0.013  -0.09
La: 0.487 0.487 0.487  -0.09
Mn: 0.250 0.250 0.250  3.84
Ru: 0.750 0.750 0.750  0.08

## Properties
E_form	0.26	eV per atom
volume	108.13	Å³ per cell
symmetry	No. 166
ρ	6.66	g cm⁻³